1.
The following is a DFT calculation (PBE) of crystalline Ce2HoIr at its relaxed geometry.

```
Ce2HoIr
1.0
3.727 0.000 0.000
1.864 3.228 0.000
1.864 1.076 10.050
Ce Ho Ir
2 1 1
Cartesian
1.864 1.076 6.792
5.591 3.228 3.258
0.000 0.000 0.000
3.727 2.152 5.025
```

Summary:
* crystal system: trigonal
* ΔH_f (0 K): -0.0629 eV per atom
* final energy: -6.3895 eV/atom
* SG: R-3m
* M_tot: 1.60 μB per formula unit
* polymorph energy (0 for the lowest one): 0.376 eV/atom
* DOS(E_F): 11.54 states/eV/cell

***

2.
The following is a DFT calculation (PBE) of crystalline SmHo3Zn2 at its relaxed geometry.

```
SmHo3Zn2
1.0
3.554 0.000 0.000
0.000 3.554 0.000
0.000 0.000 12.222
Ho Zn Sm
3 2 1
Cartesian
0.000 0.000 3.523
0.000 0.000 0.000
0.000 0.000 8.699
1.777 1.777 1.753
1.777 1.777 10.469
1.777 1.777 6.111
```

Summary:
* crystal system: tetragonal
* ΔH_f (0 K): -0.2293 eV per atom
* final energy: -3.7294 eV/atom
* SG: P4/mmm
* M_tot: 0.00 μB per formula unit
* DOS(E_F): 5.70 states/eV/cell

***

3.
The following is a DFT calculation (PBE) of crystalline Nd2Dy3ErSe6 at its relaxed geometry.

```
Nd2Dy3ErSe6
1.0
4.097 0.000 0.000
0.000 8.298 0.292
-2.049 -2.397 8.658
Se Nd Dy Er
6 2 3 1
Cartesian
2.049 4.128 2.982
2.049 -0.183 2.852
2.049 -0.346 8.661
0.000 6.084 6.098
0.000 1.773 5.968
0.000 6.247 0.290
0.000 1.985 3.025
2.049 3.916 5.926
2.049 4.149 0.146
2.049 -0.197 5.743
0.000 6.098 3.207
2.049 0.000 0.000
```

Summary:
* crystal system: monoclinic
* ΔE_f (raw): -1.769 eV/atom
* final energy: -5.8366 eV/atom
* SG: C2/m
* M_tot: 0.00 μB per formula unit
* DOS(E_F): 5.68 states/eV/cell

***

4.
The following is a DFT calculation (PBE) of crystalline DySc2UO8 at its relaxed geometry.

```
DySc2UO8
1.0
-2.905 1.476 3.686
3.050 -2.111 3.232
3.535 5.810 0.459
O Sc Dy U
8 2 1 1
Cartesian
-0.925 2.116 3.708
3.575 5.620 2.547
1.871 2.470 4.934
1.810 2.704 2.442
4.605 3.058 3.669
0.978 5.243 3.954
2.703 -0.068 3.422
0.105 -0.446 4.830
2.708 4.012 3.801
0.973 1.162 3.576
1.768 2.905 0.229
0.000 0.000 0.000
```

Summary:
* crystal system: monoclinic
* ΔE_f (raw): -3.164 eV/atom
* final energy: -8.8493 eV/atom
* SG: P2/m
* M_tot: 0.72 μB per formula unit
* DOS(E_F): 8.03 states/eV/cell

***

5.
The following is a DFT calculation (PBE) of crystalline Li12Cd3Ga at its relaxed geometry.

```
Li12Cd3Ga
1.0
-2.985 -0.652 2.797
2.834 -1.316 2.718
1.863 15.654 5.637
Li Cd Ga
12 3 1
Cartesian
3.062 13.170 6.338
-1.275 1.500 2.056
2.110 5.163 3.455
-0.322 9.507 4.939
-0.075 -0.984 2.758
1.634 1.168 2.017
2.587 9.175 4.900
-0.800 5.495 3.494
0.856 6.843 5.576
0.379 2.837 4.133
1.333 10.849 7.018
0.153 13.502 6.377
0.931 7.827 2.818
0.454 3.812 1.373
1.409 11.842 4.264
0.000 0.000 0.000
```

Summary:
* crystal system: tetragonal
* ΔH_f (0 K): -0.1664 eV per atom
* final energy: -1.9625 eV/atom
* SG: P4/mmm
* M_tot: 0.00 μB per formula unit
* DOS(E_F): 5.21 states/eV/cell

***

6.
The following is a DFT calculation (PBE) of crystalline NaPm2Tl3 at its relaxed geometry.

```
NaPm2Tl3
1.0
-3.547 4.093 -0.345
-0.830 -4.556 -2.830
-3.448 -2.556 5.126
Tl Pm Na
3 2 1
Cartesian
-5.488 -0.900 3.060
-1.724 -1.278 2.563
-2.337 -2.118 -1.108
-4.108 -3.431 1.525
-3.717 0.413 0.426
0.000 0.000 0.000
```

Summary:
* crystal system: trigonal
* ΔH_f (0 K): -0.3032 eV per atom
* final energy: -3.2898 eV/atom
* SG: P-3m1
* M_tot: 0.00 μB per formula unit
* polymorph energy (0 for the lowest one): 0.000 eV/atom
* DOS(E_F): 5.02 states/eV/cell

***

7.
The following is a DFT calculation (PBE) of crystalline KAsRh2Au at its relaxed geometry.

```
KAsRh2Au
1.0
-4.769 -1.414 -1.419
1.594 -4.515 -0.857
-1.068 -1.306 4.890
K As Rh Au
1 1 2 1
Cartesian
-2.121 -3.618 1.307
0.797 -2.258 -0.429
-2.385 -0.707 -0.710
-0.534 -0.653 2.445
0.000 0.000 0.000
```

Summary:
* crystal system: tetragonal
* ΔH_f (0 K): 0.9438 eV per atom
* final energy: -3.8016 eV/atom
* SG: P4/mmm
* M_tot: 2.57 μB per formula unit
* DOS(E_F): 7.85 states/eV/cell

***

8.
The following is a DFT calculation (PBE) of crystalline TlCu2TcPb at its relaxed geometry.

```
TlCu2TcPb
1.0
-3.978 0.350 -2.718
-1.433 -5.490 1.390
-2.471 1.613 3.824
Tl Tc Pb Cu
1 1 1 2
Cartesian
0.000 0.000 0.000
-3.941 -1.763 1.248
-0.717 -2.745 0.695
-1.989 0.175 -1.359
-1.235 0.807 1.912
```

Summary:
* crystal system: tetragonal
* ΔH_f (0 K): 1.5025 eV per atom
* final energy: -3.4241 eV/atom
* SG: P4/mmm
* M_tot: 3.97 μB per formula unit
* DOS(E_F): 2.51 states/eV/cell

***

9.
The following is a DFT calculation (PBE) of crystalline Nb2Se3 at its relaxed geometry.

```
Nb2Se3
1.0
-0.784 2.660 1.909
-4.959 -4.005 3.543
4.398 -3.768 7.053
Nb Se
4 6
Cartesian
0.602 -3.919 5.706
3.893 -3.811 6.906
-0.713 -4.333 8.712
-1.871 -0.678 3.145
1.640 -5.088 7.761
0.231 0.459 2.424
-4.200 -1.806 3.761
-0.603 -2.838 3.706
-1.622 -5.085 6.418
2.011 -1.776 6.267
```

Summary:
* crystal system: monoclinic
* ΔE_f (raw): -0.631 eV/atom
* final energy: -6.7495 eV/atom
* SG: Pm
* M_tot: 0.12 μB per formula unit
* DOS(E_F): 5.29 states/eV/cell

***

10.
The following is a DFT calculation (PBE) of crystalline AlNi2Sb at its relaxed geometry.

```
AlNi2Sb
1.0
4.406 0.000 0.000
2.203 3.816 0.000
2.203 1.272 3.598
Sb Al Ni
1 1 2
Cartesian
6.610 3.816 2.698
4.406 2.544 1.799
0.000 0.000 0.000
2.203 1.272 0.899
```

Summary:
* crystal system: cubic
* ΔE_f (raw): 0.151 eV/atom
* final energy: -4.7058 eV/atom
* SG: F-43m
* M_tot: 0.00 μB per formula unit
* polymorph energy (0 for the lowest one): 0.394 eV/atom
* DOS(E_F): 2.96 states/eV/cell

***

11.
The following is a DFT calculation (PBE) of crystalline CaSn2Sb2 at its relaxed geometry.

```
CaSn2Sb2
1.0
4.579 0.000 0.000
0.000 4.615 0.000
-2.290 0.000 13.396
Ca Sb Sn
2 4 4
Cartesian
0.000 1.154 9.117
2.290 3.461 4.279
2.290 1.154 6.700
0.000 3.461 6.696
2.290 3.461 9.788
0.000 1.154 3.607
2.290 1.154 1.308
0.000 3.461 12.088
0.000 3.461 1.388
2.290 1.154 12.008
```

Summary:
* crystal system: orthorhombic
* ΔE_f (raw): -0.313 eV/atom
* final energy: -3.9638 eV/atom
* SG: Cmcm
* M_tot: 0.00 μB per formula unit
* DOS(E_F): 3.64 states/eV/cell

***

12.
The following is a DFT calculation (PBE) of crystalline YIn2As at its relaxed geometry.

```
YIn2As
1.0
-7.459 3.804 1.300
-8.071 1.663 -1.974
-8.323 -0.050 1.588
Y In As
1 2 1
Cartesian
-11.566 2.627 0.443
-0.314 0.071 0.012
-5.993 1.361 0.230
-17.907 4.067 0.686
```

Summary:
* crystal system: trigonal
* ΔH_f (0 K): -0.3741 eV per atom
* final energy: -4.5217 eV/atom
* SG: R3m
* M_tot: 0.00 μB per formula unit
* DOS(E_F): 2.79 states/eV/cell

***

13.
The following is a DFT calculation (PBE) of crystalline Sm2ScAl at its relaxed geometry.

```
Sm2ScAl
1.0
4.699 0.000 0.000
0.000 4.725 0.000
0.000 0.000 4.725
Sm Al Sc
2 1 1
Cartesian
0.000 0.000 2.362
0.000 2.362 0.000
2.350 2.362 2.362
2.350 0.000 0.000
```

Summary:
* crystal system: tetragonal
* ΔH_f (0 K): -0.1780 eV per atom
* final energy: -5.0561 eV/atom
* SG: P4/mmm
* M_tot: 0.00 μB per formula unit
* polymorph energy (0 for the lowest one): 0.000 eV/atom
* DOS(E_F): 5.00 states/eV/cell

***

14.
The following is a DFT calculation (PBE) of crystalline TaAuSe4 at its relaxed geometry.

```
TaAuSe4
1.0
-4.295 -2.635 2.359
-1.533 1.276 5.194
-4.772 2.714 0.904
Se Ta Au
4 1 1
Cartesian
-6.122 -0.810 4.351
-4.741 1.146 5.769
-6.361 1.865 3.623
-3.975 0.508 3.171
-7.950 1.016 6.343
0.000 0.000 0.000
```

Summary:
* crystal system: cubic
* ΔE_f (raw): 0.967 eV/atom
* final energy: -3.8774 eV/atom
* SG: F-43m
* M_tot: 1.43 μB per formula unit
* DOS(E_F): 6.01 states/eV/cell

***

15.
The following is a DFT calculation (PBE) of crystalline PaSe5 at its relaxed geometry.

```
PaSe5
1.0
4.091 -0.004 0.000
-1.893 7.289 0.000
0.000 0.000 13.710
Se Pa
10 2
Cartesian
0.280 3.095 0.620
1.918 4.190 7.475
1.918 4.190 13.090
-0.258 5.091 10.282
0.280 3.095 6.235
-0.221 1.523 11.482
2.457 2.194 3.427
-0.221 1.523 9.082
2.419 5.762 4.628
2.419 5.762 2.227
0.371 4.061 3.427
1.828 3.224 10.282
```

Summary:
* crystal system: monoclinic
* ΔE_f (raw): -0.733 eV/atom
* final energy: -5.2197 eV/atom
* SG: P2_1/m
* M_tot: 0.00 μB per formula unit
* polymorph energy (0 for the lowest one): 0.000 eV/atom
* DOS(E_F): 4.07 states/eV/cell

***

16.
The following is a DFT calculation (PBE) of crystalline SmGdZnSi at its relaxed geometry.

```
SmGdZnSi
1.0
-0.045 -0.790 4.994
2.227 -4.109 1.930
4.269 0.458 2.671
Si Zn Gd Sm
1 1 1 1
Cartesian
1.613 -1.110 2.399
4.838 -3.331 7.197
0.000 0.000 0.000
3.226 -2.221 4.798
```

Summary:
* crystal system: cubic
* ΔE_f (raw): -0.453 eV/atom
* final energy: -6.8273 eV/atom
* SG: F-43m
* M_tot: 7.11 μB per formula unit
* DOS(E_F): 2.71 states/eV/cell

***

17.
The following is a DFT calculation (PBE) of crystalline Er2BeSi3Ni4 at its relaxed geometry.

```
Er2BeSi3Ni4
1.0
3.910 0.000 0.000
0.000 3.910 0.000
0.000 0.000 9.414
Si Ni Be Er
3 4 1 2
Cartesian
0.000 0.000 4.707
0.000 1.955 1.261
1.955 0.000 8.153
1.955 0.000 5.873
0.000 0.000 0.000
0.000 1.955 3.541
1.955 1.955 0.000
1.955 1.955 4.707
1.955 0.000 2.410
0.000 1.955 7.004
```

Summary:
* crystal system: tetragonal
* ΔE_f (raw): -0.754 eV/atom
* final energy: -5.9781 eV/atom
* SG: P-4m2
* M_tot: 0.00 μB per formula unit
* DOS(E_F): 6.40 states/eV/cell

***

18.
The following is a DFT calculation (PBE) of crystalline CuBI3 at its relaxed geometry.

```
CuBI3
1.0
5.125 0.000 0.000
0.000 5.125 0.000
0.000 0.000 5.125
I Cu B
3 1 1
Cartesian
2.563 0.000 0.000
0.000 0.000 2.563
0.000 2.563 0.000
2.563 2.563 2.563
0.000 0.000 0.000
```

Summary:
* crystal system: cubic
* ΔE_f (raw): 0.944 eV/atom
* final energy: -2.1406 eV/atom
* SG: Pm-3m
* M_tot: 0.00 μB per formula unit
* polymorph energy (0 for the lowest one): 0.000 eV/atom
* DOS(E_F): 3.03 states/eV/cell

***

19.
The following is a DFT calculation (PBE) of crystalline CoTc2 at its relaxed geometry.

```
CoTc2
1.0
0.000 3.544 3.544
3.544 0.000 3.544
3.544 3.544 0.000
Co Tc
2 4
Cartesian
3.544 3.544 3.544
5.316 5.316 5.316
2.658 0.886 2.658
0.886 2.658 2.658
0.886 0.886 0.886
2.658 2.658 0.886
```

Summary:
* crystal system: cubic
* ΔH_f (0 K): 0.6105 eV per atom
* final energy: -8.6688 eV/atom
* SG: Fd-3m
* M_tot: 1.41 μB per formula unit
* polymorph energy (0 for the lowest one): 0.598 eV/atom
* DOS(E_F): 7.56 states/eV/cell

***

20.
The following is a DFT calculation (PBE) of crystalline CaTmIrAu at its relaxed geometry.

```
CaTmIrAu
1.0
-2.434 -0.202 -4.271
-3.088 -3.723 -0.898
-4.853 0.800 -0.105
Ir Tm Ca Au
1 1 1 1
Cartesian
0.000 0.000 0.000
-2.594 -0.781 -1.319
-7.782 -2.344 -3.956
-5.188 -1.562 -2.637
```

Summary:
* crystal system: cubic
* ΔH_f (0 K): -0.6761 eV per atom
* final energy: -5.3290 eV/atom
* SG: F-43m
* M_tot: 0.00 μB per formula unit
* DOS(E_F): 3.06 states/eV/cell